Entry from Alexandria via LeMat-Bulk: a relaxed CeSmAsS crystal (PBE-GGA).

Structure (CIF):
```
data_CeSmAsS
_cell_length_a 4.1293
_cell_length_b 4.1293
_cell_length_c 20.1639
_cell_angle_alpha 90.00
_cell_angle_beta 90.00
_cell_angle_gamma 120.00
_symmetry_space_group_name_H-M 'R 3 m'
_symmetry_Int_Tables_number 160
_symmetry_space_group_name_Hall 'R 3 -2"'
loop_
_atom_site_label
_atom_site_type_symbol
_atom_site_fract_x
_atom_site_fract_y
_atom_site_fract_z
Ce1 Ce 0.0000 0.0000 0.0000
Sm1 Sm 0.0000 0.0000 0.5037
As1 As 0.0000 0.0000 0.7518
S1 S 0.0000 0.0000 0.2513
```

E_form (uncorrected) = -7.08 eV/f.u.
DOS(E_F) = 6.22 states/eV/f.u.
Total magnetization = 0.80 μB per formula unit
Calculated volume = 24.8 Å³ per atom